Entry 1:
## RbInSi (PBE-GGA)

Data for crystalline RbInSi at its relaxed geometry.

Properties
The calculation puts the uncorrected formation energy at 0.08 eV per atom.

```
data_RbInSi
_space_group_name_H-M_alt 'P m m 2'
_space_group_IT_number 25
_cell_length_a 4.140
_cell_length_b 5.087
_cell_length_c 9.181
_cell_angle_alpha 90.00
_cell_angle_beta 90.00
_cell_angle_gamma 90.00
loop_
_space_group_symop_operation_xyz
'x,y,z'
'-x,-y,z'
'-x,y,z'
'x,-y,z'
loop_
_atom_site_label
_atom_site_type_symbol
_atom_site_fract_x
_atom_site_fract_y
_atom_site_fract_z
_atom_site_occupancy
Rb1 Rb 0.000 0.000 0.000 1
Rb2 Rb 0.500 0.500 0.315 1
In1 In 0.000 0.000 0.452 1
In2 In 0.500 0.000 0.682 1
Si1 Si 0.000 0.500 0.653 1
Si2 Si 0.500 0.500 0.816 1
```

---

Entry 2:
## RbNd2GaO5 (PBE-GGA)

Data for crystalline RbNd2GaO5 at its relaxed geometry.

Properties
The calculation puts the uncorrected formation energy at -2.58 eV per atom.

```
data_RbNd2GaO5
_space_group_name_H-M_alt 'I 4/m c m'
_space_group_IT_number 140
_space_group_name_Hall '-I 4 2c'
_cell_length_a 6.887
_cell_length_b 6.887
_cell_length_c 11.463
_cell_angle_alpha 90.00
_cell_angle_beta 90.00
_cell_angle_gamma 90.00
loop_
_atom_site_label
_atom_site_type_symbol
_atom_site_fract_x
_atom_site_fract_y
_atom_site_fract_z
_atom_site_occupancy
Rb1 Rb 0.000 0.000 0.250 1
Nd1 Nd 0.181 0.319 0.000 1
Ga1 Ga 0.000 0.500 0.250 1
O1 O 0.000 0.000 0.000 1
O2 O 0.134 0.366 0.368 1
```